1.
This record from Alexandria via LeMat-Bulk describes a geometry-optimized NiTeAs2 structure. The functional is PBEsol.

Formation energy without anion corrections (eV per atom): 0.099

a = 5.7816 Å, b = 5.7816 Å, c = 6.9464 Å
α = 114.59°, β = 114.59°, γ = 90.00°
With the nearest neighbours (Å) after each atom.
Element x y z (fractional)
Ni  0.7500  0.2500  0.5000  4 As 2.23
Ni  0.5000  0.5000  0.0000  4 As 2.23
As  0.4590  0.8750  0.2500  2 Ni 2.23
As  0.7910  0.3750  0.2500  2 Ni 2.23
As  0.1250  0.2090  0.7500  2 Ni 2.23
As  0.6250  0.5410  0.7500  2 Ni 2.23
Te  0.2500  0.7500  0.5000  4 As 2.79
Te  0.0000  0.0000  0.0000  4 As 2.79

=====

2.
This record from Alexandria via LeMat-Bulk describes a geometry-optimized Sr4ZnSi structure. The functional is PBEsol.

Formation energy without anion corrections (eV per atom): 0.690

a = 6.7379 Å, b = 6.7379 Å, c = 6.7379 Å
α = 60.00°, β = 60.00°, γ = 60.00°
With the nearest neighbours (Å) after each atom.
Element x y z (fractional)
Si  0.0000  0.0000  0.0000  12 Sr 3.95, 4 Zn 4.13
Sr  0.3741  0.3741  0.3741  6 Sr 3.34-3.39
Sr  0.3741  0.3741  0.8777  6 Sr 3.34-3.39
Sr  0.8777  0.3741  0.3741  6 Sr 3.34-3.39
Sr  0.3741  0.8777  0.3741  6 Sr 3.34-3.39
Zn  0.7500  0.7500  0.7500  12 Sr 3.95, 4 Si 4.13

=====

3.
This record from Alexandria via LeMat-Bulk describes a geometry-optimized InH2Pd2 structure. The functional is PBEsol.

E (eV per atom): -4.556

a = 3.3648 Å, b = 3.3648 Å, c = 5.3836 Å
α = 108.21°, β = 108.21°, γ = 90.00°
With the nearest neighbours (Å) after each atom.
Element x y z (fractional)
H  0.2500  0.7500  0.5000  4 Pd 1.91
H  0.7500  0.2500  0.5000  4 Pd 1.91
Pd  0.3446  0.3446  0.6893  4 H 1.91
Pd  0.6554  0.6554  0.3107  4 H 1.91
In  0.0000  0.0000  0.0000  8 Pd 2.81, 8 H 2.94